No. 1
PrTh2Ti: optimized geometry, GGA-PBE.

Symmetry   No. 123
D(E_F)   1.6319 states/eV per atom

Cell: 3.6404 3.6404 8.7982 Å, 90.00 90.00 90.00°
Fractional coordinates of all 4 atoms:
Th  0.0000  0.0000  0.2128
Th  0.0000  0.0000  0.7872
Ti  0.5000  0.5000  0.0000
Pr  0.5000  0.5000  0.5000



No. 2
Sr3PbW: optimized geometry, GGA-PBE.

Symmetry   No. 221
D(E_F)   1.1812 states/eV per atom

Cell: 5.8208 5.8208 5.8208 Å, 90.00 90.00 90.00°
Fractional coordinates of all 5 atoms:
Pb  0.5000  0.5000  0.5000
Sr  0.0000  0.0000  0.5000
Sr  0.5000  0.0000  0.0000
Sr  0.0000  0.5000  0.0000
W  0.0000  0.0000  0.0000



No. 3
AgPbSeN2: optimized geometry, GGA-PBE.

Formation energy (no corrections)   1602 meV/atom
Symmetry   No. 123
D(E_F)   0.3368 states/eV per atom

Cell: 4.4025 4.4025 5.8047 Å, 90.00 90.00 90.00°
Last column: magnetic moment on the atom in μB.
Fractional coordinates of all 5 atoms:
N  0.0000  0.5000  0.0000  1.00
N  0.5000  0.0000  0.0000  1.00
Ag  0.5000  0.5000  0.5000  0.04
Pb  0.0000  0.0000  0.0000  -0.05
Se  0.0000  0.0000  0.5000  0.20



No. 4
Pm5Mg4Tl: optimized geometry, GGA-PBE.

Symmetry   No. 123
D(E_F)   1.2400 states/eV per atom

Cell: 3.8623 3.8623 19.4036 Å, 90.00 90.00 90.00°
Fractional coordinates of all 10 atoms:
Pm  0.5000  0.5000  0.3000
Pm  0.5000  0.5000  0.8980
Pm  0.5000  0.5000  0.7000
Pm  0.5000  0.5000  0.5000
Pm  0.5000  0.5000  0.1020
Mg  0.0000  0.0000  0.2028
Mg  0.0000  0.0000  0.4003
Mg  0.0000  0.0000  0.5997
Mg  0.0000  0.0000  0.7972
Tl  0.0000  0.0000  0.0000



No. 5
GeOsIO2: optimized geometry, GGA-PBE.

Formation energy (no corrections)   480 meV/atom
Symmetry   No. 123
D(E_F)   0.5566 states/eV per atom

Cell: 3.7249 3.7249 7.0289 Å, 90.00 90.00 90.00°
Last column: magnetic moment on the atom in μB.
Fractional coordinates of all 5 atoms:
O  0.0000  0.5000  0.0000  0.02
O  0.5000  0.0000  0.0000  0.02
Os  0.5000  0.5000  0.5000  1.24
I  0.0000  0.0000  0.5000  0.02
Ge  0.0000  0.0000  0.0000  0.00



No. 6
Rb5HgO: optimized geometry, GGA-PBE.

Formation energy (no corrections)   -455 meV/atom
Symmetry   No. 15
D(E_F)   0.5693 states/eV per atom

Cell: 8.6788 8.6788 12.0071 Å, 94.52 113.47 109.88°
Fractional coordinates of all 14 atoms:
Hg  0.6937  0.4437  0.2500
Hg  0.3063  0.5563  0.7500
O  0.0000  0.0000  0.0000
O  0.5000  0.0000  0.5000
Rb  0.7936  0.6844  0.0152
Rb  0.1692  0.7784  0.4848
Rb  0.1538  0.8539  0.8865
Rb  0.4674  0.2673  0.6135
Rb  0.8308  0.2216  0.5152
Rb  0.5326  0.7327  0.3865
Rb  0.3038  0.0538  0.2500
Rb  0.8462  0.1461  0.1135
Rb  0.6962  0.9462  0.7500
Rb  0.2064  0.3156  0.9848



no.,VASP energy (eV per atom)
1,-6.7193
2,-3.4393
3,-3.7368
4,-3.4096
5,-4.9830
6,-1.8980